[1]
# MgBO2F

Crystalline MgBO2F at its relaxed geometry (PBE, Alexandria). Values from VASP.

Geometry as Quantum ESPRESSO input:
```
&SYSTEM
  ibrav = 0, nat = 5, ntyp = 4
/
ATOMIC_SPECIES
Mg 24.30 Mg.upf
B 10.81 B.upf
O 16.00 O.upf
F 19.00 F.upf
CELL_PARAMETERS angstrom
-2.274 -0.629 2.357
1.099 -3.297 0.180
2.201 0.862 2.354
ATOMIC_POSITIONS angstrom
Mg 0.513 -1.532 2.446
B 0.000 0.000 0.000
O 1.100 0.431 1.177
O -1.137 -0.315 1.179
F 0.550 -1.648 0.090
```

The density of states at the Fermi level comes out at 0.0 states/eV/cell. Its crystal system is tetragonal. The value obtained for the formation energy from raw total energies is -8.2 eV/f.u. The raw total energy comes out at -5.6548 eV per atom. As for the space group: No. 123.



[2]
# Mg2BPtF

Crystalline Mg2BPtF at its relaxed geometry (PBE, Alexandria). Values from VASP.

Geometry as Quantum ESPRESSO input:
```
&SYSTEM
  ibrav = 0, nat = 5, ntyp = 4
/
ATOMIC_SPECIES
Mg 24.30 Mg.upf
B 10.81 B.upf
Pt 195.08 Pt.upf
F 19.00 F.upf
CELL_PARAMETERS angstrom
-3.568 -2.886 -0.808
1.512 -2.562 2.474
-2.380 1.966 3.490
ATOMIC_POSITIONS angstrom
Mg -1.190 0.983 1.745
Mg -1.784 -1.443 -0.404
B 0.000 0.000 0.000
Pt 0.756 -1.281 1.237
F -2.218 -1.741 2.579
```

The density of states at the Fermi level comes out at 1.6 states/eV/cell. Its crystal system is tetragonal. The value obtained for the formation energy from raw total energies is -3.4 eV/f.u. The raw total energy comes out at -4.2447 eV per atom. As for the space group: No. 123.



[3]
# RbMgB2F8

Crystalline RbMgB2F8 at its relaxed geometry (PBE, Alexandria). Values from VASP.

Geometry as Quantum ESPRESSO input:
```
&SYSTEM
  ibrav = 0, nat = 12, ntyp = 4
/
ATOMIC_SPECIES
Rb 85.47 Rb.upf
Mg 24.30 Mg.upf
B 10.81 B.upf
F 19.00 F.upf
CELL_PARAMETERS angstrom
-0.341 4.484 -2.383
-3.046 0.507 -4.046
-7.404 3.843 2.854
ATOMIC_POSITIONS angstrom
Rb -5.395 4.417 -1.788
Mg 0.000 0.000 0.000
B -2.660 2.195 -0.924
B -8.131 6.638 -2.651
F -3.734 2.568 -0.069
F -2.348 3.299 -1.768
F -7.057 6.265 -3.506
F -3.069 1.075 -1.703
F -7.722 7.758 -1.872
F -1.536 1.854 -0.118
F -9.255 6.979 -3.457
F -8.443 5.534 -1.807
```

The density of states at the Fermi level comes out at 1.6 states/eV/cell. Its crystal system is trigonal. The value obtained for the formation energy from raw total energies is -32.8 eV/f.u. The raw total energy comes out at -5.3102 eV per atom. As for the space group: No. 148.



[4]
# Rb2MgBF6

Crystalline Rb2MgBF6 at its relaxed geometry (PBE, Alexandria). Values from VASP.

Geometry as Quantum ESPRESSO input:
```
&SYSTEM
  ibrav = 0, nat = 10, ntyp = 4
/
ATOMIC_SPECIES
Mg 24.30 Mg.upf
B 10.81 B.upf
Rb 85.47 Rb.upf
F 19.00 F.upf
CELL_PARAMETERS angstrom
5.260 0.000 0.000
0.000 5.260 0.000
2.630 2.630 5.568
ATOMIC_POSITIONS angstrom
Mg 0.000 0.000 0.000
B 2.630 2.630 0.000
Rb 5.260 2.630 2.784
Rb 2.630 5.260 2.784
F 2.630 2.630 3.651
F 5.260 5.260 1.917
F 1.503 1.503 0.000
F 3.757 3.757 0.000
F 3.757 1.503 0.000
F 1.503 3.757 0.000
```

The density of states at the Fermi level comes out at 7.5 states/eV/cell. Its crystal system is tetragonal. The value obtained for the formation energy from raw total energies is -24.3 eV/f.u. The raw total energy comes out at -4.5702 eV per atom. As for the space group: No. 139.



[5]
# MgSn2BF

Crystalline MgSn2BF at its relaxed geometry (PBE, Alexandria). Values from VASP.

Geometry as Quantum ESPRESSO input:
```
&SYSTEM
  ibrav = 0, nat = 5, ntyp = 4
/
ATOMIC_SPECIES
Mg 24.30 Mg.upf
B 10.81 B.upf
Sn 118.71 Sn.upf
F 19.00 F.upf
CELL_PARAMETERS angstrom
5.144 0.000 0.000
0.000 3.531 0.000
0.000 0.000 5.144
ATOMIC_POSITIONS angstrom
Mg 2.572 1.766 2.572
B 0.000 0.000 0.000
Sn 0.000 0.000 2.572
Sn 2.572 0.000 0.000
F 0.000 1.766 0.000
```

The density of states at the Fermi level comes out at 2.0 states/eV/cell. Its crystal system is tetragonal. The value obtained for the formation energy from raw total energies is 0.1 eV/f.u. The raw total energy comes out at -3.6190 eV per atom. As for the space group: No. 123.



Q: What is the raw total energy in the third record?
A: -5.3102 eV per atom